A relaxed structure of Na3Mn8O16. Source: Alexandria, functional PBE with a Hubbard U.

```
data_Na3Mn8O16
_cell_length_a 6.137
_cell_length_b 12.448
_cell_length_c 8.384
_cell_angle_alpha 90.00
_cell_angle_beta 90.00
_cell_angle_gamma 90.00
_symmetry_space_group_name_H-M 'P m m n'
_symmetry_Int_Tables_number 59
loop_
_symmetry_equiv_pos_as_xyz
'x,y,z'
'-x,-y,-z'
'-x+1/2,-y+1/2,z'
'x+1/2,y+1/2,-z'
'x+1/2,-y,-z'
'-x+1/2,y,z'
'-x,y+1/2,-z'
'x,-y+1/2,z'
loop_
_atom_site_label
_atom_site_type_symbol
_atom_site_fract_x
_atom_site_fract_y
_atom_site_fract_z
Na1 Na 0.250 0.004 0.126
Na2 Na 0.250 0.250 0.376
Mn1 Mn 0.000 0.000 0.500
Mn2 Mn 0.003 0.750 0.010
Mn3 Mn 0.250 0.129 0.740
Mn4 Mn 0.250 0.625 0.755
O1 O 0.024 0.750 0.783
O2 O 0.038 0.013 0.728
O3 O 0.042 0.250 0.751
O4 O 0.250 0.100 0.503
O5 O 0.250 0.145 0.968
O6 O 0.250 0.604 0.523
O7 O 0.250 0.644 0.987
```

## Properties
- Crystal system: orthorhombic
- VASP energy: -365.43 eV per cell